No. 1
DFT (PBE-GGA) results for a geometry-optimized Eu2IrBr structure.

Summary:
space-group type = P4/mmm
excess energy over the best structure of this formula in the dataset = 11 meV per atom
uncorrected formation energy = -0.91 eV per atom
raw total energy = -8.684 eV/atom
Fermi-level density of states = 3.5272 states/eV/atom

Unit cell a=3.581 b=3.581 c=7.947 alpha=90.00 beta=90.00 gamma=90.00
Site moments in Bohr magnetons follow the coordinates.
Element x y z (fractional)
Eu 0.000 0.000 0.786  6.86
Eu 0.000 0.000 0.214  6.86
Ir 0.500 0.500 0.000  -0.46
Br 0.500 0.500 0.500  -0.01

No. 2
DFT (PBE-GGA) results for a geometry-optimized Eu2IrBr structure.

Summary:
space-group type = R-3m
excess energy over the best structure of this formula in the dataset = 0 meV per atom
uncorrected formation energy = -0.92 eV per atom
raw total energy = -8.695 eV/atom
Fermi-level density of states = 2.6769 states/eV/atom

Unit cell a=4.192 b=4.192 c=7.984 alpha=74.78 beta=74.78 gamma=60.00
Site moments in Bohr magnetons follow the coordinates.
Element x y z (fractional)
Eu 0.265 0.265 0.206  6.80
Eu 0.735 0.735 0.794  6.80
Ir 0.000 0.000 0.000  -0.27
Br 0.500 0.500 0.500  -0.01

No. 3
DFT (PBE-GGA) results for a geometry-optimized KEuBr2 structure.

Summary:
space-group type = P4/mmm
excess energy over the best structure of this formula in the dataset = 73 meV per atom
uncorrected formation energy = -1.41 eV per atom
raw total energy = -5.089 eV/atom
Fermi-level density of states = 0.2574 states/eV/atom

Unit cell a=3.887 b=3.887 c=8.181 alpha=90.00 beta=90.00 gamma=90.00
Site moments in Bohr magnetons follow the coordinates.
Element x y z (fractional)
Eu 0.500 0.500 0.000  7.20
K 0.500 0.500 0.500  0.01
Br 0.000 0.000 0.767  -0.01
Br 0.000 0.000 0.233  -0.01

No. 4
DFT (PBE-GGA) results for a geometry-optimized K5Eu3Br12 structure.

Summary:
space-group type = Ia-3d
uncorrected formation energy = -1.68 eV per atom
raw total energy = -4.498 eV/atom
Fermi-level density of states = 2.3552 states/eV/atom

Unit cell a=15.925 b=15.925 c=15.925 alpha=109.47 beta=109.47 gamma=109.47
Site moments in Bohr magnetons follow the coordinates.
Element x y z (fractional)
Eu 0.750 0.375 0.125  6.67
Eu 0.875 0.750 0.125  6.67
Eu 0.375 0.750 0.625  6.67
Eu 0.250 0.125 0.375  6.67
Eu 0.875 0.125 0.250  6.67
Eu 0.375 0.625 0.250  6.67
Eu 0.625 0.375 0.750  6.67
Eu 0.125 0.875 0.750  6.67
Eu 0.750 0.875 0.625  6.67
Eu 0.625 0.250 0.375  6.67
Eu 0.125 0.250 0.875  6.67
Eu 0.250 0.625 0.875  6.67
K 0.125 0.375 0.250  0.00
K 0.000 0.500 0.000  0.00
K 0.000 0.000 0.000  0.00
K 0.375 0.250 0.125  0.00
K 0.500 0.000 0.500  0.00
K 0.500 0.500 0.000  0.00
K 0.125 0.750 0.375  0.00
K 0.750 0.125 0.875  0.00
K 0.750 0.625 0.375  0.00
K 0.375 0.125 0.750  0.00
K 0.625 0.875 0.250  0.00
K 0.500 0.500 0.500  0.00
K 0.500 0.000 0.000  0.00
K 0.000 0.000 0.500  0.00
K 0.250 0.375 0.625  0.00
K 0.250 0.875 0.125  0.00
K 0.000 0.500 0.500  0.00
K 0.875 0.250 0.625  0.00
K 0.625 0.750 0.875  0.00
K 0.875 0.625 0.750  0.00
Br 0.737 0.129 0.065  -0.03
Br 0.328 0.565 0.435  -0.03
Br 0.935 0.371 0.263  -0.03
Br 0.565 0.237 0.129  -0.03
Br 0.607 0.737 0.672  -0.03
Br 0.935 0.565 0.172  -0.03
Br 0.328 0.763 0.393  -0.03
Br 0.065 0.893 0.129  -0.03
Br 0.565 0.935 0.672  -0.03
Br 0.737 0.607 0.172  -0.03
Br 0.763 0.435 0.371  -0.03
Br 0.828 0.935 0.065  -0.03
Br 0.129 0.737 0.565  -0.03
Br 0.371 0.435 0.107  -0.03
Br 0.107 0.935 0.371  -0.03
Br 0.393 0.129 0.565  -0.03
Br 0.107 0.172 0.237  -0.03
Br 0.435 0.672 0.065  -0.03
Br 0.828 0.893 0.263  -0.03
Br 0.129 0.393 0.065  -0.03
Br 0.371 0.935 0.763  -0.03
Br 0.565 0.629 0.393  -0.03
Br 0.935 0.828 0.565  -0.03
Br 0.763 0.328 0.893  -0.03
Br 0.435 0.371 0.607  -0.03
Br 0.065 0.172 0.435  -0.03
Br 0.237 0.672 0.107  -0.03
Br 0.172 0.107 0.737  -0.03
Br 0.629 0.065 0.237  -0.03
Br 0.871 0.607 0.935  -0.03
Br 0.565 0.328 0.935  -0.03
Br 0.607 0.871 0.435  -0.03
Br 0.893 0.828 0.763  -0.03
Br 0.893 0.065 0.629  -0.03
Br 0.871 0.263 0.435  -0.03
Br 0.172 0.065 0.935  -0.03
Br 0.629 0.565 0.893  -0.03
Br 0.435 0.065 0.328  -0.03
Br 0.263 0.393 0.828  -0.03
Br 0.237 0.565 0.629  -0.03
Br 0.935 0.107 0.871  -0.03
Br 0.672 0.237 0.607  -0.03
Br 0.435 0.763 0.871  -0.03
Br 0.065 0.435 0.828  -0.03
Br 0.393 0.263 0.328  -0.03
Br 0.065 0.629 0.737  -0.03
Br 0.672 0.435 0.565  -0.03
Br 0.263 0.871 0.935  -0.03

No. 5
DFT (PBE-GGA) results for a geometry-optimized KEuBr2 structure.

Summary:
space-group type = R-3m
excess energy over the best structure of this formula in the dataset = 0 meV per atom
uncorrected formation energy = -1.48 eV per atom
raw total energy = -5.162 eV/atom
Fermi-level density of states = 0.2931 states/eV/atom

Unit cell a=4.536 b=4.536 c=10.770 alpha=77.84 beta=77.84 gamma=60.00
Site moments in Bohr magnetons follow the coordinates.
Element x y z (fractional)
Eu 0.500 0.500 0.500  6.93
K 0.000 0.000 0.000  0.00
Br 0.115 0.115 0.654  -0.02
Br 0.885 0.885 0.346  -0.02

No. 6
DFT (PBE-GGA) results for a geometry-optimized K2EuBr4 structure.

Summary:
space-group type = I4/mmm
uncorrected formation energy = -1.80 eV per atom
raw total energy = -4.536 eV/atom

Unit cell a=5.893 b=5.893 c=9.468 alpha=71.87 beta=71.87 gamma=90.00
Site moments in Bohr magnetons follow the coordinates.
Element x y z (fractional)
Eu 0.000 0.000 0.000  6.88
K 0.639 0.639 0.722  0.00
K 0.361 0.361 0.278  0.00
Br 0.825 0.825 0.349  -0.01
Br 0.175 0.175 0.651  -0.01
Br 0.000 0.500 0.000  -0.01
Br 0.500 0.000 0.000  -0.01